1.
! Al2AuBr (PBE-GGA, optimized geometry); values from VASP
&SYSTEM
  ibrav = 0, nat = 4, ntyp = 3
/
ATOMIC_SPECIES
Br 79.90 Br.upf
Al 26.98 Al.upf
Au 196.97 Au.upf
CELL_PARAMETERS angstrom
-0.993 3.209 0.004
-0.365 -0.117 3.339
6.931 2.144 0.833
ATOMIC_POSITIONS angstrom
Br 4.428 3.125 3.131
Al 0.091 0.025 2.548
Au 1.145 2.111 1.045
Al 2.826 0.871 2.877
! Spin magnetization (μB/atom): 0.000
! Calculated total energy (eV per atom): -3.31
! Energy relative to the elements, uncorrected (eV per atom): -0.20
! Fermi-level density of states (states/eV/f.u.): 0.88



2.
! YGaCu3 (PBE-GGA, optimized geometry); values from VASP
&SYSTEM
  ibrav = 0, nat = 5, ntyp = 3
/
ATOMIC_SPECIES
Cu 63.55 Cu.upf
Ga 69.72 Ga.upf
Y 88.91 Y.upf
CELL_PARAMETERS angstrom
-4.787 -1.503 -1.309
1.866 -4.575 -1.572
-0.699 -1.922 4.765
ATOMIC_POSITIONS angstrom
Cu 0.933 -2.288 -0.786
Cu -0.350 -0.961 2.382
Ga -1.810 -4.000 0.942
Cu -2.393 -0.752 -0.654
Y 0.000 0.000 0.000
! Spin magnetization (μB/atom): 0.000
! Calculated formation energy (eV/atom): 1.10
! Calculated total energy (eV per atom): -3.26
! Fermi-level density of states (states/eV/f.u.): 2.20



3.
! SiTc2MoH (PBE-GGA, optimized geometry); values from VASP
&SYSTEM
  ibrav = 0, nat = 5, ntyp = 4
/
ATOMIC_SPECIES
Tc 98.00 Tc.upf
H 1.01 H.upf
Si 28.09 Si.upf
Mo 95.94 Mo.upf
CELL_PARAMETERS angstrom
-2.621 0.056 -2.934
-0.964 -3.732 0.790
-2.733 1.227 2.464
ATOMIC_POSITIONS angstrom
Tc -1.310 0.028 -1.467
H 0.000 0.000 0.000
Si -3.159 -1.224 0.160
Mo -1.366 0.614 1.232
Tc -0.482 -1.866 0.395
! Spin magnetization (μB/atom): 0.000
! Calculated total energy (eV per atom): -8.01
! Fermi-level density of states (states/eV/f.u.): 3.54



4.
! Hf2MnP2 (PBE-GGA, optimized geometry); values from VASP
&SYSTEM
  ibrav = 0, nat = 10, ntyp = 3
/
ATOMIC_SPECIES
P 30.97 P.upf
Hf 178.49 Hf.upf
Mn 54.94 Mn.upf
CELL_PARAMETERS angstrom
5.990 0.000 0.000
0.000 5.990 0.000
0.000 0.000 4.135
ATOMIC_POSITIONS angstrom
P 3.832 0.837 0.000
Hf 4.954 1.959 2.068
P 0.837 2.158 0.000
P 2.158 5.153 0.000
Hf 4.031 4.954 2.068
Mn 2.995 2.995 0.000
Hf 1.959 1.036 2.068
Mn 0.000 0.000 0.000
P 5.153 3.832 0.000
Hf 1.036 4.031 2.068
! Spin magnetization (μB/atom): 0.077
! Calculated formation energy (eV/atom): -0.86
! Calculated total energy (eV per atom): -8.84
! Fermi-level density of states (states/eV/f.u.): 3.28



5.
! LiScCu3 (PBE-GGA, optimized geometry); values from VASP
&SYSTEM
  ibrav = 0, nat = 5, ntyp = 3
/
ATOMIC_SPECIES
Cu 63.55 Cu.upf
Li 6.94 Li.upf
Sc 44.96 Sc.upf
CELL_PARAMETERS angstrom
4.206 0.000 0.000
0.000 4.206 0.000
0.000 0.000 4.206
ATOMIC_POSITIONS angstrom
Cu 2.103 0.000 0.000
Li 0.000 0.000 0.000
Sc 2.103 2.103 2.103
Cu 0.000 0.000 2.103
Cu 0.000 2.103 0.000
! Spin magnetization (μB/atom): 0.000
! Calculated formation energy (eV/atom): 0.24
! Calculated total energy (eV per atom): -3.87
! Fermi-level density of states (states/eV/f.u.): 2.86



6.
! CsSiSb2I (PBE-GGA, optimized geometry); values from VASP
&SYSTEM
  ibrav = 0, nat = 5, ntyp = 4
/
ATOMIC_SPECIES
Sb 121.76 Sb.upf
Si 28.09 Si.upf
I 126.90 I.upf
Cs 132.91 Cs.upf
CELL_PARAMETERS angstrom
-1.881 -6.061 0.559
1.027 0.217 5.805
-5.985 1.948 0.986
ATOMIC_POSITIONS angstrom
Sb -0.940 -3.031 0.279
Si 0.514 0.108 2.903
Sb -2.993 0.974 0.493
I -3.419 -1.948 3.675
Cs 0.000 0.000 0.000
! Spin magnetization (μB/atom): 0.099
! Calculated total energy (eV per atom): -1.54
! Energy relative to the elements, uncorrected (eV per atom): 1.68
! Fermi-level density of states (states/eV/f.u.): 11.53



7.
! B2C (PBE-GGA, optimized geometry); values from VASP
&SYSTEM
  ibrav = 0, nat = 12, ntyp = 2
/
ATOMIC_SPECIES
B 10.81 B.upf
C 12.01 C.upf
CELL_PARAMETERS angstrom
1.355 3.864 0.738
-1.355 3.864 0.738
0.000 3.915 8.276
ATOMIC_POSITIONS angstrom
B 0.000 1.315 0.893
C 0.000 9.605 5.690
B 0.000 9.056 7.254
C 0.000 3.413 4.651
B 0.000 5.254 4.259
B 0.000 5.887 2.541
B 0.000 7.450 6.204
C 0.000 7.470 7.869
B 0.000 5.865 7.502
B 0.000 3.996 7.922
B 0.000 4.070 2.921
C 0.000 7.454 2.875
! Spin magnetization (μB/atom): 0.000
! Calculated formation energy (eV/atom): 0.31
! Calculated total energy (eV per atom): -7.21
! Fermi-level density of states (states/eV/f.u.): 0.29



8.
! Ta2TeAs (PBE-GGA, optimized geometry); values from VASP
&SYSTEM
  ibrav = 0, nat = 4, ntyp = 3
/
ATOMIC_SPECIES
Te 127.60 Te.upf
Ta 180.95 Ta.upf
As 74.92 As.upf
CELL_PARAMETERS angstrom
5.544 0.011 0.031
-2.531 4.637 0.009
0.483 1.116 3.044
ATOMIC_POSITIONS angstrom
Te -1.024 2.877 1.527
Ta 0.000 0.000 0.000
Ta 3.014 0.564 1.538
As 1.507 2.324 0.020
! Spin magnetization (μB/atom): 0.000
! Calculated total energy (eV per atom): -7.47
! Energy relative to the elements, uncorrected (eV per atom): 0.41
! Fermi-level density of states (states/eV/f.u.): 3.67



9.
! BaCrW (PBE-GGA, optimized geometry); values from VASP
&SYSTEM
  ibrav = 0, nat = 3, ntyp = 3
/
ATOMIC_SPECIES
Cr 52.00 Cr.upf
Ba 137.33 Ba.upf
W 183.84 W.upf
CELL_PARAMETERS angstrom
4.779 0.000 0.000
2.390 4.139 0.000
2.390 1.380 3.902
ATOMIC_POSITIONS angstrom
Cr 4.779 2.759 1.951
Ba 0.000 0.000 0.000
W 7.169 4.139 2.927
! Spin magnetization (μB/atom): 0.662
! Calculated formation energy (eV/atom): 1.73
! Calculated total energy (eV per atom): -6.44
! Fermi-level density of states (states/eV/f.u.): 1.96



10.
! HoWS2 (PBE-GGA, optimized geometry); values from VASP
&SYSTEM
  ibrav = 0, nat = 4, ntyp = 3
/
ATOMIC_SPECIES
Ho 164.93 Ho.upf
S 32.06 S.upf
W 183.84 W.upf
CELL_PARAMETERS angstrom
3.333 0.000 0.000
1.667 2.887 0.000
1.667 0.962 8.554
ATOMIC_POSITIONS angstrom
Ho 0.000 0.000 0.000
S 5.000 2.887 2.730
S 1.667 0.962 5.824
W 3.333 1.924 4.277
! Spin magnetization (μB/atom): 0.000
! Calculated total energy (eV per atom): -6.85
! Energy relative to the elements, uncorrected (eV per atom): -0.41
! Fermi-level density of states (states/eV/f.u.): 4.51



11.
! BaPaCuSe4 (PBE-GGA, optimized geometry); values from VASP
&SYSTEM
  ibrav = 0, nat = 14, ntyp = 4
/
ATOMIC_SPECIES
Cu 63.55 Cu.upf
Se 78.96 Se.upf
Ba 137.33 Ba.upf
Pa 231.04 Pa.upf
CELL_PARAMETERS angstrom
-1.107 2.473 5.931
-5.025 -4.479 0.930
5.978 -6.578 0.622
ATOMIC_POSITIONS angstrom
Cu 1.896 -3.612 5.263
Se 0.571 -2.452 3.689
Se -3.376 -3.269 3.255
Se -1.772 -1.664 6.355
Se -0.724 -6.133 3.793
Cu -2.049 -4.973 2.219
Ba -1.205 -0.881 1.657
Se -0.715 -9.001 1.560
Pa 1.826 -4.215 1.980
Se 1.619 -6.920 1.128
Se 3.223 -5.316 4.227
Se 0.562 0.416 5.923
Ba 1.052 -7.703 5.825
Pa -1.979 -4.370 5.502
! Spin magnetization (μB/atom): 0.022
! Calculated total energy (eV per atom): -5.50
! Energy relative to the elements, uncorrected (eV per atom): -1.29



12.
! TmIF2 (PBE-GGA, optimized geometry); values from VASP
&SYSTEM
  ibrav = 0, nat = 4, ntyp = 3
/
ATOMIC_SPECIES
F 19.00 F.upf
I 126.90 I.upf
Tm 168.93 Tm.upf
CELL_PARAMETERS angstrom
-2.613 0.126 -2.915
-2.642 -2.866 -0.388
-5.320 1.927 2.221
ATOMIC_POSITIONS angstrom
F -2.030 -0.691 -0.842
F -8.544 -0.121 -0.241
I -5.287 -0.406 -0.541
Tm 0.000 0.000 0.000
! Spin magnetization (μB/atom): 0.000
! Calculated total energy (eV per atom): -5.42
! Energy relative to the elements, uncorrected (eV per atom): -2.97
! Fermi-level density of states (states/eV/f.u.): 0.00